Entry 1:
The following is a GGA-PBE calculation of a geometry-optimized Sm3TlHg5 structure, from Alexandria.

Output
The density of states at the Fermi level comes out at 0.5111 states/eV per atom. As for the spin magnetization: 0.000 μB/cell. For the formation energy, the calculation gives -422 meV per atom. The value obtained for the uncorrected energy is -43.66 eV/cell.

```
Sm3TlHg5
1.0
9.114 0.000 0.000
-4.557 7.893 0.000
0.000 0.000 6.500
Sm Tl Hg
6 2 10
direct
0.000 0.335 0.250 Sm
0.000 0.665 0.750 Sm
0.335 0.000 0.250 Sm
0.335 0.335 0.750 Sm
0.665 0.000 0.750 Sm
0.665 0.665 0.250 Sm
0.000 0.000 0.000 Tl
0.000 0.000 0.500 Tl
0.000 0.335 0.750 Hg
0.000 0.665 0.250 Hg
0.333 0.667 0.000 Hg
0.333 0.667 0.500 Hg
0.335 0.000 0.750 Hg
0.335 0.335 0.250 Hg
0.665 0.000 0.250 Hg
0.665 0.665 0.750 Hg
0.667 0.333 0.000 Hg
0.667 0.333 0.500 Hg
```

=====

Entry 2:
The following is a GGA-PBE calculation of a geometry-optimized Sm4TlHg3 structure, from Alexandria.

Output
The density of states at the Fermi level comes out at 1.0718 states/eV per atom. As for the spin magnetization: 3.831 μB/cell. For the formation energy, the calculation gives -448 meV per atom. The value obtained for the uncorrected energy is -51.47 eV/cell.

```
Sm4TlHg3
1.0
5.372 0.000 0.000
0.000 5.372 0.000
0.000 0.000 15.384
Sm Tl Hg
8 2 6
direct
0.000 0.500 0.127 Sm
0.000 0.500 0.373 Sm
0.000 0.500 0.627 Sm
0.000 0.500 0.873 Sm
0.500 0.000 0.127 Sm
0.500 0.000 0.373 Sm
0.500 0.000 0.627 Sm
0.500 0.000 0.873 Sm
0.000 0.000 0.000 Tl
0.500 0.500 0.500 Tl
0.000 0.000 0.250 Hg
0.000 0.000 0.500 Hg
0.000 0.000 0.750 Hg
0.500 0.500 0.000 Hg
0.500 0.500 0.250 Hg
0.500 0.500 0.750 Hg
```

=====

Entry 3:
The following is a GGA-PBE calculation of a geometry-optimized Sm4TlHg7 structure, from Alexandria.

Output
The density of states at the Fermi level comes out at 0.6531 states/eV per atom. As for the spin magnetization: 0.000 μB/cell. For the formation energy, the calculation gives -259 meV per atom. The value obtained for the uncorrected energy is -26.47 eV/cell.

```
Sm4TlHg7
1.0
6.509 -2.766 0.000
6.509 2.766 0.000
-5.948 0.000 9.519
Sm Tl Hg
4 1 7
direct
0.085 0.085 0.277 Sm
0.244 0.244 0.830 Sm
0.756 0.756 0.170 Sm
0.915 0.915 0.723 Sm
0.500 0.500 0.500 Tl
0.000 0.000 0.500 Hg
0.136 0.136 0.033 Hg
0.296 0.296 0.587 Hg
0.429 0.429 0.158 Hg
0.571 0.571 0.842 Hg
0.704 0.704 0.413 Hg
0.864 0.864 0.967 Hg
```

=====

Entry 4:
The following is a GGA-PBE calculation of a geometry-optimized SmTlHg4 structure, from Alexandria.

Output
The density of states at the Fermi level comes out at 0.6446 states/eV per atom. As for the spin magnetization: 0.000 μB/cell. For the formation energy, the calculation gives -233 meV per atom. The value obtained for the uncorrected energy is -19.38 eV/cell.

```
SmTlHg4
1.0
3.343 -9.007 0.000
3.343 9.007 0.000
0.000 0.000 5.126
Sm Tl Hg
2 2 8
direct
0.125 0.875 0.750 Sm
0.875 0.125 0.250 Sm
0.382 0.618 0.250 Tl
0.618 0.382 0.750 Tl
0.031 0.451 0.750 Hg
0.192 0.277 0.750 Hg
0.277 0.192 0.250 Hg
0.451 0.031 0.250 Hg
0.549 0.969 0.750 Hg
0.723 0.808 0.750 Hg
0.808 0.723 0.250 Hg
0.969 0.549 0.250 Hg
```

=====

Entry 5:
The following is a GGA-PBE calculation of a geometry-optimized Sm6Tl5Hg structure, from Alexandria.

Output
The density of states at the Fermi level comes out at 0.9452 states/eV per atom. As for the spin magnetization: 0.000 μB/cell. For the formation energy, the calculation gives -275 meV per atom. The value obtained for the uncorrected energy is -43.75 eV/cell.

```
Sm6Tl5Hg
1.0
4.951 -5.795 0.000
4.951 5.795 0.000
-1.515 0.000 6.466
Sm Tl Hg
6 5 1
direct
0.081 0.411 0.745 Sm
0.243 0.243 0.248 Sm
0.411 0.081 0.745 Sm
0.589 0.919 0.255 Sm
0.757 0.757 0.752 Sm
0.919 0.589 0.255 Sm
0.174 0.826 0.000 Tl
0.339 0.661 0.500 Tl
0.500 0.500 0.000 Tl
0.661 0.339 0.500 Tl
0.826 0.174 0.000 Tl
0.000 0.000 0.500 Hg
```

=====

Entry 6:
The following is a GGA-PBE calculation of a geometry-optimized Sm2TlHg4 structure, from Alexandria.

Output
The density of states at the Fermi level comes out at 1.0016 states/eV per atom. As for the spin magnetization: 0.000 μB/cell. For the formation energy, the calculation gives -123 meV per atom. The value obtained for the uncorrected energy is -27.75 eV/cell.

```
Sm2TlHg4
1.0
5.813 0.000 0.000
0.000 5.813 0.000
0.000 0.000 12.282
Sm Tl Hg
4 2 8
direct
0.000 0.000 0.144 Sm
0.000 0.000 0.856 Sm
0.500 0.500 0.356 Sm
0.500 0.500 0.644 Sm
0.000 0.000 0.500 Tl
0.500 0.500 0.000 Tl
0.000 0.500 0.000 Hg
0.000 0.500 0.250 Hg
0.000 0.500 0.500 Hg
0.000 0.500 0.750 Hg
0.500 0.000 0.000 Hg
0.500 0.000 0.250 Hg
0.500 0.000 0.500 Hg
0.500 0.000 0.750 Hg
```

=====

Entry 7:
The following is a GGA-PBE calculation of a geometry-optimized Sm5Tl2Hg structure, from Alexandria.

Output
The density of states at the Fermi level comes out at 0.8440 states/eV per atom. As for the spin magnetization: 0.000 μB/cell. For the formation energy, the calculation gives -91 meV per atom. The value obtained for the uncorrected energy is -58.72 eV/cell.

```
Sm5Tl2Hg
1.0
2.926 -6.537 0.000
2.926 6.537 0.000
0.000 0.000 13.218
Sm Tl Hg
10 4 2
direct
0.056 0.944 0.610 Sm
0.056 0.944 0.890 Sm
0.380 0.620 0.545 Sm
0.380 0.620 0.955 Sm
0.410 0.590 0.250 Sm
0.590 0.410 0.750 Sm
0.620 0.380 0.045 Sm
0.620 0.380 0.455 Sm
0.944 0.056 0.110 Sm
0.944 0.056 0.390 Sm
0.199 0.801 0.123 Tl
0.199 0.801 0.377 Tl
0.801 0.199 0.623 Tl
0.801 0.199 0.877 Tl
0.254 0.746 0.750 Hg
0.746 0.254 0.250 Hg
```

=====

Entry 8:
The following is a GGA-PBE calculation of a geometry-optimized SmTl6Hg23 structure, from Alexandria.

Output
The density of states at the Fermi level comes out at 0.5018 states/eV per atom. As for the spin magnetization: 0.000 μB/cell. For the formation energy, the calculation gives -27 meV per atom. The value obtained for the uncorrected energy is -26.68 eV/cell.

```
SmTl6Hg23
1.0
0.000 7.493 7.493
7.493 0.000 7.493
7.493 7.493 0.000
Sm Tl Hg
1 6 23
direct
0.000 0.000 0.000 Sm
0.284 0.284 0.716 Tl
0.284 0.716 0.284 Tl
0.284 0.716 0.716 Tl
0.716 0.284 0.284 Tl
0.716 0.284 0.716 Tl
0.716 0.716 0.284 Tl
0.000 0.000 0.500 Hg
0.000 0.500 0.000 Hg
0.000 0.500 0.500 Hg
0.019 0.660 0.660 Hg
0.120 0.120 0.120 Hg
0.120 0.120 0.639 Hg
0.120 0.639 0.120 Hg
0.340 0.340 0.340 Hg
0.340 0.340 0.981 Hg
0.340 0.981 0.340 Hg
0.361 0.880 0.880 Hg
0.500 0.000 0.000 Hg
0.500 0.000 0.500 Hg
0.500 0.500 0.000 Hg
0.500 0.500 0.500 Hg
0.639 0.120 0.120 Hg
0.660 0.019 0.660 Hg
0.660 0.660 0.019 Hg
0.660 0.660 0.660 Hg
0.880 0.361 0.880 Hg
0.880 0.880 0.361 Hg
0.880 0.880 0.880 Hg
0.981 0.340 0.340 Hg
```

=====

Entry 9:
The following is a GGA-PBE calculation of a geometry-optimized SmTlHg structure, from Alexandria.

Output
The density of states at the Fermi level comes out at 0.9011 states/eV per atom. As for the spin magnetization: 0.054 μB/cell. For the formation energy, the calculation gives -275 meV per atom. The value obtained for the uncorrected energy is -16.42 eV/cell.

```
SmTlHg
1.0
3.717 0.000 0.000
0.000 3.717 0.000
0.000 0.000 11.833
Sm Tl Hg
2 2 2
direct
0.000 0.000 0.000 Sm
0.500 0.500 0.500 Sm
0.000 0.000 0.320 Tl
0.500 0.500 0.820 Tl
0.000 0.000 0.659 Hg
0.500 0.500 0.159 Hg
```

=====

Entry 10:
The following is a GGA-PBE calculation of a geometry-optimized Sm2Tl3Hg3 structure, from Alexandria.

Output
The density of states at the Fermi level comes out at 0.5057 states/eV per atom. As for the spin magnetization: 0.000 μB/cell. For the formation energy, the calculation gives -311 meV per atom. The value obtained for the uncorrected energy is -19.93 eV/cell.

```
Sm2Tl3Hg3
1.0
4.715 0.000 0.000
0.000 4.769 0.000
0.000 0.000 9.338
Sm Tl Hg
2 3 3
direct
0.000 0.000 0.248 Sm
0.000 0.000 0.752 Sm
0.000 0.500 0.500 Tl
0.500 0.000 0.000 Tl
0.500 0.000 0.500 Tl
0.000 0.500 0.000 Hg
0.500 0.500 0.248 Hg
0.500 0.500 0.752 Hg
```

=====

Entry 11:
The following is a GGA-PBE calculation of a geometry-optimized Sm5Tl3Hg structure, from Alexandria.

Output
The density of states at the Fermi level comes out at 0.8184 states/eV per atom. As for the spin magnetization: 0.000 μB/cell. For the formation energy, the calculation gives -375 meV per atom. The value obtained for the uncorrected energy is -68.74 eV/cell.

```
Sm5Tl3Hg
1.0
9.484 0.000 0.000
-4.742 8.214 0.000
0.000 0.000 6.840
Sm Tl Hg
10 6 2
direct
0.000 0.285 0.250 Sm
0.000 0.715 0.750 Sm
0.285 0.000 0.250 Sm
0.285 0.285 0.750 Sm
0.333 0.667 0.000 Sm
0.333 0.667 0.500 Sm
0.667 0.333 0.000 Sm
0.667 0.333 0.500 Sm
0.715 0.000 0.750 Sm
0.715 0.715 0.250 Sm
0.000 0.375 0.750 Tl
0.000 0.625 0.250 Tl
0.375 0.000 0.750 Tl
0.375 0.375 0.250 Tl
0.625 0.000 0.250 Tl
0.625 0.625 0.750 Tl
0.000 0.000 0.000 Hg
0.000 0.000 0.500 Hg
```

=====

Entry 12:
The following is a GGA-PBE calculation of a geometry-optimized Sm6TlHg2 structure, from Alexandria.

Output
The density of states at the Fermi level comes out at 1.5233 states/eV per atom. As for the spin magnetization: 0.222 μB/cell. For the formation energy, the calculation gives -274 meV per atom. The value obtained for the uncorrected energy is -33.75 eV/cell.

```
Sm6TlHg2
1.0
0.000 6.511 7.885
2.629 0.000 7.885
2.629 6.511 0.000
Sm Tl Hg
6 1 2
direct
0.016 0.322 0.678 Sm
0.322 0.016 0.984 Sm
0.342 0.658 0.342 Sm
0.658 0.342 0.658 Sm
0.678 0.984 0.016 Sm
0.984 0.678 0.322 Sm
0.000 0.000 0.000 Tl
0.336 0.336 0.664 Hg
0.664 0.664 0.336 Hg
```